Here is a relaxed structure of PmCrGeO5 from the Alexandria database. Energies are from PBE+U.

Output
magnetic moment = 0.37 μB per atom
VASP energy = -7.3048 eV per atom
ρ = 5.10 g cm⁻³

The structure in CIF format:
```
data_PmCrGeO5
_chemical_formula_sum 'Pm2 Cr2 Ge2 O10'
_space_group_name_H-M_alt 'P 1'
_space_group_IT_number 1
_cell_length_a 5.513
_cell_length_b 5.513
_cell_length_c 8.274
_cell_angle_alpha 102.03
_cell_angle_beta 102.03
_cell_angle_gamma 105.41
loop_
_space_group_symop_operation_xyz
'x,y,z'
loop_
_atom_site_label
_atom_site_fract_x
_atom_site_fract_y
_atom_site_fract_z
Pm1 0.000 0.000 0.000
Pm2 0.000 0.000 0.500
Cr1 0.343 0.657 0.750
Cr2 0.657 0.343 0.250
Ge1 0.324 0.676 0.250
Ge2 0.676 0.324 0.750
O1 0.016 0.640 0.296
O2 0.133 0.867 0.750
O3 0.335 0.406 0.095
O4 0.360 0.984 0.204
O5 0.406 0.335 0.595
O6 0.594 0.665 0.405
O7 0.640 0.016 0.796
O8 0.665 0.594 0.905
O9 0.867 0.133 0.250
O10 0.984 0.360 0.704
```